(1)
Computed, not measured: Rb3Sm2MgSe6 after structural relaxation at the PBE-GGA level of DFT.

magnetization = 0.000 μB per cell
raw formation energy = -33.12 kcal/mol of atoms
volume = 753.9 Å³ per cell
calculated total energy = -4.34 eV/atom

The structure in CIF format:
```
data_Rb3Sm2MgSe6
_chemical_formula_sum 'Rb6 Sm4 Mg2 Se12'
_symmetry_space_group_name_H-M 'C 1 2/m 1'
_symmetry_Int_Tables_number 12
_cell_length_a 7.352
_cell_length_b 12.739
_cell_length_c 8.416
_cell_angle_alpha 90.00
_cell_angle_beta 106.96
_cell_angle_gamma 90.00
loop_
_symmetry_equiv_pos_as_xyz
'x,y,z'
'-x,-y,-z'
'-x,y,-z'
'x,-y,z'
'x+1/2,y+1/2,z'
'-x+1/2,-y+1/2,-z'
'-x+1/2,y+1/2,-z'
'x+1/2,-y+1/2,z'
loop_
_atom_site_label
_atom_site_type_symbol
_atom_site_fract_x
_atom_site_fract_y
_atom_site_fract_z
Rb1 Rb 0.000 0.000 0.000
Rb2 Rb 0.000 0.332 0.000
Sm1 Sm 0.000 0.166 0.500
Mg1 Mg 0.000 0.500 0.500
Se1 Se 0.227 0.338 0.695
Se2 Se 0.241 0.000 0.696
```

(2)
Computed, not measured: Zr2Pb2Cl after structural relaxation at the PBE-GGA level of DFT.

magnetization = 0.000 μB per cell
raw formation energy = -7.30 kcal/mol of atoms
volume = 240.1 Å³ per cell
calculated total energy = -5.59 eV/atom

The structure in CIF format:
```
data_Zr2Pb2Cl
_chemical_formula_sum 'Zr4 Pb4 Cl2'
_symmetry_space_group_name_H-M 'P 4/m b m'
_symmetry_Int_Tables_number 127
_symmetry_space_group_name_Hall '-P 4 2ab'
_cell_length_a 6.949
_cell_length_b 6.949
_cell_length_c 4.972
_cell_angle_alpha 90.00
_cell_angle_beta 90.00
_cell_angle_gamma 90.00
loop_
_atom_site_label
_atom_site_type_symbol
_atom_site_fract_x
_atom_site_fract_y
_atom_site_fract_z
Zr1 Zr 0.152 0.348 0.000
Pb1 Pb 0.162 0.662 0.500
Cl1 Cl 0.000 0.000 0.000
```

(3)
Computed, not measured: LaSm2Cu2 after structural relaxation at the PBE-GGA level of DFT.

E above lowest polymorph = 8 meV/atom
magnetization = 0.000 μB per cell
volume = 265.0 Å³ per cell
calculated total energy = -4.60 eV/atom

The structure in CIF format:
```
data_LaSm2Cu2
_chemical_formula_sum 'La2 Sm4 Cu4'
_symmetry_space_group_name_H-M 'P 1 21/m 1'
_symmetry_Int_Tables_number 11
_cell_length_a 5.060
_cell_length_b 4.757
_cell_length_c 11.102
_cell_angle_alpha 90.00
_cell_angle_beta 97.34
_cell_angle_gamma 90.00
loop_
_symmetry_equiv_pos_as_xyz
'x,y,z'
'-x,-y,-z'
'-x,y+1/2,-z'
'x,-y+1/2,z'
loop_
_atom_site_label
_atom_site_type_symbol
_atom_site_fract_x
_atom_site_fract_y
_atom_site_fract_z
La1 La 0.194 0.250 0.243
Sm1 Sm 0.247 0.750 0.491
Sm2 Sm 0.345 0.250 0.884
Cu1 Cu 0.121 0.750 0.004
Cu2 Cu 0.288 0.250 0.634
```

(4)
Computed, not measured: LiCdPd14 after structural relaxation at the PBE-GGA level of DFT.

magnetization = 0.002 μB per cell
volume = 247.8 Å³ per cell
calculated total energy = -4.83 eV/atom

The structure in CIF format:
```
data_LiCdPd14
_chemical_formula_sum 'Li1 Cd1 Pd14'
_symmetry_space_group_name_H-M 'P 4/m m m'
_symmetry_Int_Tables_number 123
_symmetry_space_group_name_Hall '-P 4 2'
_cell_length_a 5.582
_cell_length_b 5.582
_cell_length_c 7.954
_cell_angle_alpha 90.00
_cell_angle_beta 90.00
_cell_angle_gamma 90.00
loop_
_atom_site_label
_atom_site_type_symbol
_atom_site_fract_x
_atom_site_fract_y
_atom_site_fract_z
Li1 Li 0.000 0.000 0.000
Cd1 Cd 0.500 0.500 0.000
Pd1 Pd 0.000 0.000 0.500
Pd2 Pd 0.000 0.500 0.000
Pd3 Pd 0.000 0.500 0.500
Pd4 Pd 0.247 0.247 0.250
Pd5 Pd 0.500 0.500 0.500
```

(5)
Computed, not measured: HgIrBr2 after structural relaxation at the PBE-GGA level of DFT.

E above lowest polymorph = 0 meV/atom
magnetization = 0.000 μB per cell
raw formation energy = 1.83 kcal/mol of atoms
volume = 242.6 Å³ per cell
calculated total energy = -3.05 eV/atom

The structure in CIF format:
```
data_HgIrBr2
_chemical_formula_sum 'Hg2 Ir2 Br4'
_symmetry_space_group_name_H-M 'C 1 m 1'
_symmetry_Int_Tables_number 8
_cell_length_a 10.646
_cell_length_b 3.593
_cell_length_c 7.039
_cell_angle_alpha 90.00
_cell_angle_beta 115.71
_cell_angle_gamma 90.00
loop_
_symmetry_equiv_pos_as_xyz
'x,y,z'
'x,-y,z'
'x+1/2,y+1/2,z'
'x+1/2,-y+1/2,z'
loop_
_atom_site_label
_atom_site_type_symbol
_atom_site_fract_x
_atom_site_fract_y
_atom_site_fract_z
Hg1 Hg 0.000 0.000 0.000
Ir1 Ir 0.241 0.500 0.000
Br1 Br 0.172 0.000 0.726
Br2 Br 0.329 0.000 0.274
```

(6)
Computed, not measured: TcPb2 after structural relaxation at the PBE-GGA level of DFT.

E above lowest polymorph = 230 meV/atom
magnetization = 0.000 μB per cell
volume = 74.9 Å³ per cell
calculated total energy = -5.32 eV/atom

The structure in CIF format:
```
data_TcPb2
_chemical_formula_sum 'Tc1 Pb2'
_symmetry_space_group_name_H-M 'P 4/m m m'
_symmetry_Int_Tables_number 123
_symmetry_space_group_name_Hall '-P 4 2'
_cell_length_a 4.776
_cell_length_b 4.776
_cell_length_c 3.282
_cell_angle_alpha 90.00
_cell_angle_beta 90.00
_cell_angle_gamma 90.00
loop_
_atom_site_label
_atom_site_type_symbol
_atom_site_fract_x
_atom_site_fract_y
_atom_site_fract_z
Tc1 Tc 0.000 0.000 0.000
Pb1 Pb 0.000 0.500 0.500
```